No. 1
This record from Alexandria describes a geometry-optimized ZrSc2As2 structure. The functional is PBEsol.

a b c (Å): 7.177 7.177 3.672
angles (deg): 90.00 90.00 90.00
Fractional coordinates of all 10 atoms:
Zr 0.000 0.000 0.000
Zr 0.500 0.500 0.000
Sc 0.158 0.342 0.500
Sc 0.342 0.842 0.500
Sc 0.658 0.158 0.500
Sc 0.842 0.658 0.500
As 0.145 0.645 0.000
As 0.355 0.145 0.000
As 0.645 0.855 0.000
As 0.855 0.355 0.000

**Space-group type**: P4/mbm
**ΔH_f (0 K)**: -1149 meV per atom
**Theoretical density**: 5.81 g/cm³



No. 2
This record from Alexandria describes a geometry-optimized K3ScSi2O7 structure. The functional is PBEsol.

a b c (Å): 5.616 5.616 13.743
angles (deg): 90.00 90.00 120.00
Fractional coordinates of all 26 atoms:
K 0.000 0.000 0.250
K 0.000 0.000 0.750
K 0.333 0.667 0.090
K 0.333 0.667 0.410
K 0.667 0.333 0.590
K 0.667 0.333 0.910
Sc 0.000 0.000 0.000
Sc 0.000 0.000 0.500
Si 0.333 0.667 0.629
Si 0.333 0.667 0.871
Si 0.667 0.333 0.129
Si 0.667 0.333 0.371
O 0.174 0.348 0.592
O 0.174 0.348 0.908
O 0.174 0.826 0.592
O 0.174 0.826 0.908
O 0.333 0.667 0.750
O 0.348 0.174 0.092
O 0.348 0.174 0.408
O 0.652 0.826 0.592
O 0.652 0.826 0.908
O 0.667 0.333 0.250
O 0.826 0.174 0.092
O 0.826 0.174 0.408
O 0.826 0.652 0.092
O 0.826 0.652 0.408

**Space-group type**: P6_3/mmc
**Formation energy from raw total energies**: -2.708 eV per atom
**Theoretical density**: 2.92 g/cm³



No. 3
This record from Alexandria describes a geometry-optimized TaRhNF2 structure. The functional is PBEsol.

a b c (Å): 4.169 4.169 3.716
angles (deg): 90.00 90.00 90.00
Fractional coordinates of all 5 atoms:
Ta 0.000 0.000 0.000
Rh 0.500 0.500 0.500
N 0.500 0.500 0.000
F 0.000 0.500 0.500
F 0.500 0.000 0.500

**Space-group type**: P4/mmm
**Formation energy from raw total energies**: 0.367 eV per atom
**Theoretical density**: 8.63 g/cm³



No. 4
This record from Alexandria describes a geometry-optimized CdPb2Au structure. The functional is PBEsol.

a b c (Å): 8.796 8.796 8.796
angles (deg): 24.40 24.40 24.40
Fractional coordinates of all 4 atoms:
Cd 0.000 0.000 0.000
Pb 0.243 0.243 0.243
Pb 0.757 0.757 0.757
Au 0.500 0.500 0.500

**Space-group type**: R-3m
**ΔH_f (0 K)**: 52 meV per atom
**Theoretical density**: 11.77 g/cm³



No. 5
This record from Alexandria describes a geometry-optimized Mg2AgMo structure. The functional is PBEsol.

a b c (Å): 9.690 9.690 9.690
angles (deg): 17.10 17.10 17.10
Fractional coordinates of all 4 atoms:
Mg 0.250 0.250 0.250
Mg 0.750 0.750 0.750
Ag 0.000 0.000 0.000
Mo 0.500 0.500 0.500

**Space-group type**: R-3m
**ΔH_f (0 K)**: 212 meV per atom
**Theoretical density**: 6.10 g/cm³
**Energy above the most stable polymorph in this dataset**: 80 meV/atom



No. 6
This record from Alexandria describes a geometry-optimized CoSiPd3 structure. The functional is PBEsol.

a b c (Å): 4.445 4.445 4.445
angles (deg): 90.00 90.00 90.00
Fractional coordinates of all 5 atoms:
Co 0.000 0.000 0.000
Si 0.500 0.500 0.500
Pd 0.000 0.000 0.500
Pd 0.000 0.500 0.000
Pd 0.500 0.000 0.000

**Space-group type**: Pm-3m
**Formation energy from raw total energies**: 0.954 eV per atom
**Theoretical density**: 7.68 g/cm³



No. 7
This record from Alexandria describes a geometry-optimized BeNiRu structure. The functional is PBEsol.

a b c (Å): 3.870 3.870 2.487
angles (deg): 90.00 90.00 120.00
Fractional coordinates of all 3 atoms:
Be 0.000 0.000 0.000
Ni 0.333 0.667 0.991
Ru 0.667 0.333 0.492

**Space-group type**: P3m1
**ΔH_f (0 K)**: 5 meV per atom
**Theoretical density**: 8.69 g/cm³



No. 8
This record from Alexandria describes a geometry-optimized Al2AgAu structure. The functional is PBEsol.

a b c (Å): 4.550 4.550 4.550
angles (deg): 60.00 60.00 60.00
Fractional coordinates of all 4 atoms:
Al 0.000 0.000 0.000
Al 0.250 0.250 0.250
Ag 0.750 0.750 0.750
Au 0.500 0.500 0.500

**Space-group type**: F-43m
**ΔH_f (0 K)**: -5 meV per atom
**Theoretical density**: 8.95 g/cm³



Listing E_tot for the structures above in their given order: -7.65 -7.19 -6.25 -3.23 -4.42 -5.32 -6.77 -3.86 eV/atom.
Listing Fermi-level density of states for the structures above in their given order: 9.064 0.000 4.389 1.847 2.205 5.095 3.430 1.669 states/eV per cell.
Listing calculated volume for the structures above in their given order: 189.1 375.3 64.6 102.1 68.7 87.8 32.2 66.6 Å³ per cell.